(1)
Er2Ga2GeRu5: relaxed, PBE.

a = 9.952 Å, b = 9.952 Å, c = 3.334 Å
α = 90.00°, β = 90.00°, γ = 90.00°
Space group P4/mbm (No. 127)
Asymmetric unit:
Er 0.169 0.331 0.000 (multiplicity 4)
Ga 0.131 0.631 0.000 (multiplicity 4)
Ge 0.000 0.000 0.000 (multiplicity 2)
Ru 0.000 0.500 0.500 (multiplicity 2)
Ru 0.061 0.807 0.500 (multiplicity 8)

(2)
Er6GaGe2Se3: relaxed, PBE.

Values from the calculation:
**E_form (uncorrected)**: -1273 meV/atom

a = 18.028 Å, b = 4.080 Å, c = 8.241 Å
α = 90.00°, β = 106.40°, γ = 90.00°
Space group C2/m (No. 12)
Asymmetric unit:
Er 0.000 0.000 0.250 (multiplicity 4)
Er 0.166 0.500 0.087 (multiplicity 4)
Er 0.170 0.500 0.571 (multiplicity 4)
Ga 0.000 0.500 0.000 (multiplicity 2)
Ge 0.164 0.000 0.327 (multiplicity 4)
Se 0.000 0.500 0.500 (multiplicity 2)
Se 0.168 0.000 0.829 (multiplicity 4)

Number 1: total moment 2.392 μB/cell, final energy -0.5137 Ry per atom. Number 2: total moment 0.000 μB/cell, final energy -0.4004 Ry per atom.